1.
NiTeW2 | PBE | optimized geometry

Geometry as CIF:
```
data_NiTeW2
_symmetry_space_group_name_H-M 'F -4 3 m'
_symmetry_Int_Tables_number 216
_symmetry_space_group_name_Hall 'F -4 2 3'
_cell_length_a 6.4012
_cell_length_b 6.4012
_cell_length_c 6.4012
_cell_angle_alpha 90.00
_cell_angle_beta 90.00
_cell_angle_gamma 90.00
loop_
_atom_site_label
_atom_site_type_symbol
_atom_site_fract_x
_atom_site_fract_y
_atom_site_fract_z
Ni1 Ni 0.0000 0.0000 0.0000
Te1 Te 0.2500 0.2500 0.7500
W1 W 0.0000 0.0000 0.5000
W2 W 0.2500 0.2500 0.2500
```

Computed properties:
Its total magnetization is 0.00 μB/cell. Its crystal system is cubic. Its formation energy (no corrections) is 16.9 kcal/mol of atoms. The value obtained for the total energy is -7.974 eV per atom. For the volume, the calculation gives 16.4 Å³/atom.

***

2.
NiTeW2 | PBE | optimized geometry

Geometry as CIF:
```
data_NiTeW2
_symmetry_space_group_name_H-M 'P m m m'
_symmetry_Int_Tables_number 47
_cell_length_a 3.3205
_cell_length_b 4.2989
_cell_length_c 4.6093
_cell_angle_alpha 90.00
_cell_angle_beta 90.00
_cell_angle_gamma 90.00
loop_
_symmetry_equiv_pos_as_xyz
'x,y,z'
'-x,-y,-z'
'-x,-y,z'
'x,y,-z'
'x,-y,-z'
'-x,y,z'
'-x,y,-z'
'x,-y,z'
loop_
_atom_site_label
_atom_site_type_symbol
_atom_site_fract_x
_atom_site_fract_y
_atom_site_fract_z
Ni1 Ni 0.0000 0.0000 0.0000
Te1 Te 0.5000 0.5000 0.0000
W1 W 0.0000 0.5000 0.5000
W2 W 0.5000 0.0000 0.5000
```

Computed properties:
Its total magnetization is 0.00 μB/cell. Its crystal system is orthorhombic. Its formation energy (no corrections) is 14.7 kcal/mol of atoms. The value obtained for the total energy is -8.072 eV per atom. For the volume, the calculation gives 16.4 Å³/atom.

***

3.
NiTe2W | PBE | optimized geometry

Geometry as CIF:
```
data_NiTe2W
_symmetry_space_group_name_H-M 'C m m m'
_symmetry_Int_Tables_number 65
_symmetry_space_group_name_Hall '-C 2 2'
_cell_length_a 3.4917
_cell_length_b 5.3988
_cell_length_c 8.3257
_cell_angle_alpha 90.00
_cell_angle_beta 90.00
_cell_angle_gamma 90.00
loop_
_atom_site_label
_atom_site_type_symbol
_atom_site_fract_x
_atom_site_fract_y
_atom_site_fract_z
Ni1 Ni 0.0000 0.0000 0.0000
Te1 Te 0.0000 0.5000 0.2379
W1 W 0.0000 0.0000 0.5000
```

Computed properties:
Its total magnetization is 0.00 μB/cell. Its crystal system is orthorhombic. Its formation energy (no corrections) is 19.0 kcal/mol of atoms. Its offset from the most stable computed form is 817.6 meV per atom. The value obtained for the total energy is -5.430 eV per atom. For the volume, the calculation gives 19.6 Å³/atom.

***

4.
NiTeW2 | PBE | optimized geometry

Geometry as CIF:
```
data_NiTeW2
_symmetry_space_group_name_H-M 'P 1 2/m 1'
_symmetry_Int_Tables_number 10
_cell_length_a 2.9541
_cell_length_b 4.3554
_cell_length_c 5.2747
_cell_angle_alpha 90.00
_cell_angle_beta 102.22
_cell_angle_gamma 90.00
loop_
_symmetry_equiv_pos_as_xyz
'x,y,z'
'-x,-y,-z'
'-x,y,-z'
'x,-y,z'
loop_
_atom_site_label
_atom_site_type_symbol
_atom_site_fract_x
_atom_site_fract_y
_atom_site_fract_z
Ni1 Ni 0.0000 0.0000 0.0000
Te1 Te 0.5000 0.0000 0.5000
W1 W 0.2660 0.5000 0.7666
```

Computed properties:
Its total magnetization is 0.00 μB/cell. Its crystal system is monoclinic. Its formation energy (no corrections) is 16.3 kcal/mol of atoms. The value obtained for the total energy is -7.999 eV per atom. For the volume, the calculation gives 16.6 Å³/atom.

***

5.
NiTe2W | PBE | optimized geometry

Geometry as CIF:
```
data_NiTe2W
_symmetry_space_group_name_H-M 'I -4 2 d'
_symmetry_Int_Tables_number 122
_symmetry_space_group_name_Hall 'I -4 2bw'
_cell_length_a 6.0096
_cell_length_b 6.0096
_cell_length_c 11.5171
_cell_angle_alpha 90.00
_cell_angle_beta 90.00
_cell_angle_gamma 90.00
loop_
_atom_site_label
_atom_site_type_symbol
_atom_site_fract_x
_atom_site_fract_y
_atom_site_fract_z
Ni1 Ni 0.0000 0.0000 0.0000
Te1 Te 0.2289 0.2500 0.1250
W1 W 0.0000 0.0000 0.5000
```

Computed properties:
Its total magnetization is 3.85 μB/cell. Its crystal system is tetragonal. Its formation energy (no corrections) is 12.7 kcal/mol of atoms. Its offset from the most stable computed form is 544.8 meV per atom. The value obtained for the total energy is -5.703 eV per atom. For the volume, the calculation gives 26.0 Å³/atom.

***

6.
NiTeW2 | PBE | optimized geometry

Geometry as CIF:
```
data_NiTeW2
_symmetry_space_group_name_H-M 'A m m 2'
_symmetry_Int_Tables_number 38
_cell_length_a 3.2388
_cell_length_b 3.4113
_cell_length_c 12.6946
_cell_angle_alpha 90.00
_cell_angle_beta 90.00
_cell_angle_gamma 90.00
loop_
_symmetry_equiv_pos_as_xyz
'x,y,z'
'-x,-y,z'
'-x,y,z'
'x,-y,z'
'x,y+1/2,z+1/2'
'-x,-y+1/2,z+1/2'
'-x,y+1/2,z+1/2'
'x,-y+1/2,z+1/2'
loop_
_atom_site_label
_atom_site_type_symbol
_atom_site_fract_x
_atom_site_fract_y
_atom_site_fract_z
Ni1 Ni 0.0000 0.0000 0.0000
Te1 Te 0.5000 0.0000 0.6061
W1 W 0.0000 0.0000 0.7877
W2 W 0.5000 0.0000 0.3895
```

Computed properties:
Its total magnetization is 0.00 μB/cell. Its crystal system is orthorhombic. Its formation energy (no corrections) is 8.7 kcal/mol of atoms. The value obtained for the total energy is -8.331 eV per atom. For the volume, the calculation gives 17.5 Å³/atom.

***

7.
Y7Ni2Te2 | PBE | optimized geometry

Geometry as CIF:
```
data_Y7Ni2Te2
_symmetry_space_group_name_H-M 'I m m 2'
_symmetry_Int_Tables_number 44
_cell_length_a 3.8799
_cell_length_b 15.6808
_cell_length_c 9.6574
_cell_angle_alpha 90.00
_cell_angle_beta 90.00
_cell_angle_gamma 90.00
loop_
_symmetry_equiv_pos_as_xyz
'x,y,z'
'-x,-y,z'
'-x,y,z'
'x,-y,z'
'x+1/2,y+1/2,z+1/2'
'-x+1/2,-y+1/2,z+1/2'
'-x+1/2,y+1/2,z+1/2'
'x+1/2,-y+1/2,z+1/2'
loop_
_atom_site_label
_atom_site_type_symbol
_atom_site_fract_x
_atom_site_fract_y
_atom_site_fract_z
Y1 Y 0.0000 0.0000 0.0000
Y2 Y 0.0000 0.1311 0.5835
Y3 Y 0.0000 0.3143 0.3806
Y4 Y 0.0000 0.3547 0.7301
Ni1 Ni 0.0000 0.2381 0.0743
Te1 Te 0.0000 0.0000 0.3370
Te2 Te 0.0000 0.5000 0.2384
```

Computed properties:
Its total magnetization is 0.00 μB/cell. Its crystal system is orthorhombic. Its formation energy (no corrections) is -15.8 kcal/mol of atoms. The value obtained for the total energy is -6.419 eV per atom. For the volume, the calculation gives 26.7 Å³/atom.

***

8.
YNi3Te | PBE | optimized geometry

Geometry as CIF:
```
data_YNi3Te
_symmetry_space_group_name_H-M 'P m -3 m'
_symmetry_Int_Tables_number 221
_symmetry_space_group_name_Hall '-P 4 2 3'
_cell_length_a 4.7458
_cell_length_b 4.7458
_cell_length_c 4.7458
_cell_angle_alpha 90.00
_cell_angle_beta 90.00
_cell_angle_gamma 90.00
loop_
_atom_site_label
_atom_site_type_symbol
_atom_site_fract_x
_atom_site_fract_y
_atom_site_fract_z
Y1 Y 0.0000 0.0000 0.0000
Ni1 Ni 0.0000 0.0000 0.5000
Te1 Te 0.5000 0.5000 0.5000
```

Computed properties:
Its total magnetization is 0.00 μB/cell. Its crystal system is cubic. Its formation energy (no corrections) is 25.2 kcal/mol of atoms. Its offset from the most stable computed form is 944.2 meV per atom. The value obtained for the total energy is -4.298 eV per atom. For the volume, the calculation gives 21.4 Å³/atom.

***

9.
YNi4Te | PBE | optimized geometry

Geometry as CIF:
```
data_YNi4Te
_symmetry_space_group_name_H-M 'F -4 3 m'
_symmetry_Int_Tables_number 216
_symmetry_space_group_name_Hall 'F -4 2 3'
_cell_length_a 7.1251
_cell_length_b 7.1251
_cell_length_c 7.1251
_cell_angle_alpha 90.00
_cell_angle_beta 90.00
_cell_angle_gamma 90.00
loop_
_atom_site_label
_atom_site_type_symbol
_atom_site_fract_x
_atom_site_fract_y
_atom_site_fract_z
Y1 Y 0.0000 0.0000 0.0000
Ni1 Ni 0.1257 0.1257 0.6257
Te1 Te 0.2500 0.2500 0.2500
```

Computed properties:
Its total magnetization is 4.55 μB/cell. Its crystal system is cubic. Its formation energy (no corrections) is -6.0 kcal/mol of atoms. The value obtained for the total energy is -5.716 eV per atom. For the volume, the calculation gives 15.1 Å³/atom.

***

10.
YNiTe3 | PBE | optimized geometry

Geometry as CIF:
```
data_YNiTe3
_symmetry_space_group_name_H-M 'P m -3 m'
_symmetry_Int_Tables_number 221
_symmetry_space_group_name_Hall '-P 4 2 3'
_cell_length_a 5.0800
_cell_length_b 5.0800
_cell_length_c 5.0800
_cell_angle_alpha 90.00
_cell_angle_beta 90.00
_cell_angle_gamma 90.00
loop_
_atom_site_label
_atom_site_type_symbol
_atom_site_fract_x
_atom_site_fract_y
_atom_site_fract_z
Y1 Y 0.0000 0.0000 0.0000
Ni1 Ni 0.5000 0.5000 0.5000
Te1 Te 0.0000 0.5000 0.5000
```

Computed properties:
Its total magnetization is 0.00 μB/cell. Its crystal system is cubic. Its formation energy (no corrections) is -7.2 kcal/mol of atoms. Its offset from the most stable computed form is 0.0 meV per atom. The value obtained for the total energy is -4.645 eV per atom. For the volume, the calculation gives 26.2 Å³/atom.

***

11.
Y3NiTe | PBE | optimized geometry

Geometry as CIF:
```
data_Y3NiTe
_symmetry_space_group_name_H-M 'C 1 2/m 1'
_symmetry_Int_Tables_number 12
_cell_length_a 15.4793
_cell_length_b 3.9593
_cell_length_c 8.5195
_cell_angle_alpha 90.00
_cell_angle_beta 92.12
_cell_angle_gamma 90.00
loop_
_symmetry_equiv_pos_as_xyz
'x,y,z'
'-x,-y,-z'
'-x,y,-z'
'x,-y,z'
'x+1/2,y+1/2,z'
'-x+1/2,-y+1/2,-z'
'-x+1/2,y+1/2,-z'
'x+1/2,-y+1/2,z'
loop_
_atom_site_label
_atom_site_type_symbol
_atom_site_fract_x
_atom_site_fract_y
_atom_site_fract_z
Y1 Y 0.0436 0.0000 0.2103
Y2 Y 0.1058 0.5000 0.5468
Y3 Y 0.2455 0.5000 0.2178
Ni1 Ni 0.2078 0.0000 0.4331
Te1 Te 0.1123 0.5000 0.9282
```

Computed properties:
Its total magnetization is 0.00 μB/cell. Its crystal system is monoclinic. Its formation energy (no corrections) is -16.4 kcal/mol of atoms. Its offset from the most stable computed form is 0.0 meV per atom. The value obtained for the total energy is -6.373 eV per atom. For the volume, the calculation gives 26.1 Å³/atom.

***

12.
YNiTe3 | PBE | optimized geometry

Geometry as CIF:
```
data_YNiTe3
_symmetry_space_group_name_H-M 'P m -3 m'
_symmetry_Int_Tables_number 221
_symmetry_space_group_name_Hall '-P 4 2 3'
_cell_length_a 5.7818
_cell_length_b 5.7818
_cell_length_c 5.7818
_cell_angle_alpha 90.00
_cell_angle_beta 90.00
_cell_angle_gamma 90.00
loop_
_atom_site_label
_atom_site_type_symbol
_atom_site_fract_x
_atom_site_fract_y
_atom_site_fract_z
Y1 Y 0.0000 0.0000 0.0000
Ni1 Ni 0.5000 0.5000 0.5000
Te1 Te 0.0000 0.0000 0.5000
```

Computed properties:
Its total magnetization is 1.72 μB/cell. Its crystal system is cubic. Its formation energy (no corrections) is 10.4 kcal/mol of atoms. Its offset from the most stable computed form is 762.1 meV per atom. The value obtained for the total energy is -3.883 eV per atom. For the volume, the calculation gives 38.7 Å³/atom.

***

Look up the total magnetization of the eighth one.
0.00 μB/cell

***

What is the total magnetization in the third record?
0.00 μB/cell